1.
Material: Rb2AcRe3O12
Method: DFT, PBE
State: relaxed

Cell lengths 7.246, 7.246, 7.246 Å; angles 62.54, 62.54, 62.54 degrees
Positions (direct):
Rb (0.111, 0.111, 0.111)
Rb (0.889, 0.889, 0.889)
Ac (0.500, 0.500, 0.500)
Re (0.000, 0.500, 0.500)
Re (0.500, 0.000, 0.500)
Re (0.500, 0.500, 0.000)
O (0.079, 0.618, 0.618)
O (0.222, 0.222, 0.587)
O (0.222, 0.587, 0.222)
O (0.382, 0.382, 0.921)
O (0.382, 0.921, 0.382)
O (0.413, 0.778, 0.778)
O (0.587, 0.222, 0.222)
O (0.618, 0.079, 0.618)
O (0.618, 0.618, 0.079)
O (0.778, 0.413, 0.778)
O (0.778, 0.778, 0.413)
O (0.921, 0.382, 0.382)

**Crystal system**: trigonal
**E_form (uncorrected)**: -34.29 eV per formula unit
**Spin magnetization**: 0.867 Bohr magnetons per cell
**Symmetry**: R-3m

***

2.
Material: Rb3Ac3ReO8
Method: DFT, PBE
State: relaxed

Cell lengths 7.901, 7.901, 7.901 Å; angles 55.94, 55.94, 55.94 degrees
Positions (direct):
Rb (0.000, 0.500, 0.500)
Rb (0.500, 0.000, 0.500)
Rb (0.500, 0.500, 0.000)
Ac (0.000, 0.000, 0.500)
Ac (0.000, 0.500, 0.000)
Ac (0.500, 0.000, 0.000)
Re (0.500, 0.500, 0.500)
O (0.229, 0.229, 0.229)
O (0.269, 0.698, 0.698)
O (0.302, 0.302, 0.731)
O (0.302, 0.731, 0.302)
O (0.698, 0.269, 0.698)
O (0.698, 0.698, 0.269)
O (0.731, 0.302, 0.302)
O (0.771, 0.771, 0.771)

**Crystal system**: trigonal
**E_form (uncorrected)**: -33.39 eV per formula unit
**Spin magnetization**: 2.996 Bohr magnetons per cell
**Symmetry**: R-3m

***

3.
Material: Rb2AcRhO4
Method: DFT, PBE
State: relaxed

Cell lengths 5.929, 5.929, 5.929 Å; angles 113.47, 113.47, 101.74 degrees
Positions (direct):
Rb (0.000, 0.000, 0.000)
Rb (0.750, 0.250, 0.500)
Ac (0.500, 0.500, 0.000)
Rh (0.250, 0.750, 0.500)
O (0.138, 0.053, 0.600)
O (0.453, 0.538, 0.400)
O (0.462, 0.862, 0.915)
O (0.947, 0.547, 0.085)

**Crystal system**: tetragonal
**E_form (uncorrected)**: -12.83 eV per formula unit
**Spin magnetization**: 2.000 Bohr magnetons per cell
**Symmetry**: I-4